# Li4PrAu8

Li4PrAu8 after structural relaxation (PBE, Alexandria).

Values from the calculation:
density	12.6	g/cm3
magnetic moment	0.00	Bohr magnetons per cell
uncorrected energy	-3.49	eV per atom
formation enthalpy at 0 K	-0.52	eV per atom

Cell: 5.329 7.085 7.085 Å, 81.87 67.91 67.91°
Positions (direct):
Au: 0.500 0.778 0.222
Au: 0.339 0.661 0.661
Au: 0.278 0.222 0.222
Li: 0.000 0.500 0.000
Li: 0.500 0.000 0.500
Li: 0.000 0.000 0.500
Au: 0.000 0.661 0.339
Au: 0.500 0.222 0.778
Au: 0.722 0.778 0.778
Li: 0.500 0.500 0.000
Au: 0.661 0.339 0.339
Pr: 0.000 0.000 0.000
Au: 0.000 0.339 0.661